VASP calculation (SCAN) on CdInPb2 at its PBEsol-relaxed geometry.

Calculated values
Distance to the lowest polymorph of the same formula (meV/atom): 0
Space-group type: No. 25

```
CdInPb2
1.0
3.405 0.000 0.000
0.000 4.630 0.000
0.000 0.000 6.771
Cd In Pb
1 1 2
Direct
0.000 0.000 0.000 Cd
0.500 0.500 0.234 In
0.000 0.000 0.481 Pb
0.500 0.500 0.762 Pb
```

***

VASP calculation (SCAN) on CdInPb at its PBEsol-relaxed geometry.

Calculated values
Distance to the lowest polymorph of the same formula (meV/atom): 6
Space-group type: No. 44

```
CdInPb
1.0
-1.715 2.209 5.074
1.715 -2.209 5.074
1.715 2.209 -5.074
Cd In Pb
1 1 1
Direct
0.000 0.000 0.000 Cd
0.652 0.652 0.000 In
0.330 0.330 0.000 Pb
```

***

VASP calculation (SCAN) on CdIn2Pb at its PBEsol-relaxed geometry.

Calculated values
Space-group type: No. 65

```
CdIn2Pb
1.0
1.771 -2.730 0.000
1.771 2.730 0.000
0.000 0.000 10.619
Cd In Pb
1 2 1
Direct
0.000 0.000 0.000 Cd
0.500 0.500 0.236 In
0.500 0.500 0.764 In
0.000 0.000 0.500 Pb
```

***

VASP calculation (SCAN) on CdIn2Pb at its PBEsol-relaxed geometry.

Calculated values
Space-group type: No. 47

```
CdIn2Pb
1.0
3.671 0.000 0.000
0.000 5.255 0.000
0.000 0.000 5.351
Cd In Pb
1 2 1
Direct
0.000 0.000 0.000 Cd
0.000 0.500 0.500 In
0.500 0.000 0.500 In
0.500 0.500 0.000 Pb
```

***

VASP calculation (SCAN) on CdInPb2 at its PBEsol-relaxed geometry.

Calculated values
Distance to the lowest polymorph of the same formula (meV/atom): 39
Space-group type: No. 225

```
CdInPb2
1.0
0.000 3.769 3.769
3.769 0.000 3.769
3.769 3.769 0.000
Cd In Pb
1 1 2
Direct
0.000 0.000 0.000 Cd
0.500 0.500 0.500 In
0.250 0.250 0.250 Pb
0.750 0.750 0.750 Pb
```

***

VASP calculation (SCAN) on CdIn2Pb at its PBEsol-relaxed geometry.

Calculated values
Space-group type: No. 12

```
CdIn2Pb
1.0
5.470 -1.656 0.000
5.470 1.656 0.000
-1.187 0.000 5.621
Cd In Pb
1 2 1
Direct
0.000 0.000 0.000 Cd
0.258 0.258 0.761 In
0.742 0.742 0.239 In
0.500 0.500 0.500 Pb
```

***

Calculated values (eV/f.u.) of calculated formation energy for the records, taken in order: 0.2 0.2 0.4 0.4 0.4 0.3.